Entry 1:
TaMo3H: relaxed, PBE.

The total energy comes out at -9.3260 eV/atom.

a = 4.0939 Å, b = 4.0939 Å, c = 4.0939 Å
α = 90.00°, β = 90.00°, γ = 90.00°
Fractional coordinates of all 5 atoms:
Ta1 0.0000 0.0000 0.0000
Mo1 0.0000 0.5000 0.5000
Mo2 0.5000 0.0000 0.5000
Mo3 0.5000 0.5000 0.0000
H1 0.5000 0.5000 0.5000

Entry 2:
TaMoH3: relaxed, PBE.

The total energy comes out at -6.1127 eV/atom.

a = 3.5309 Å, b = 3.5309 Å, c = 3.5309 Å
α = 90.00°, β = 90.00°, γ = 90.00°
Fractional coordinates of all 5 atoms:
Ta1 0.0000 0.0000 0.0000
Mo1 0.5000 0.5000 0.5000
H1 0.0000 0.0000 0.5000
H2 0.0000 0.5000 0.0000
H3 0.5000 0.0000 0.0000

Entry 3:
TaMoH2: relaxed, PBE.

The total energy comes out at -7.2745 eV/atom.

a = 5.4213 Å, b = 5.4213 Å, c = 5.4213 Å
α = 32.29°, β = 32.29°, γ = 32.29°
Fractional coordinates of all 4 atoms:
Ta1 0.0000 0.0000 0.0000
Mo1 0.5000 0.5000 0.5000
H1 0.1231 0.1231 0.1231
H2 0.8769 0.8769 0.8769

Copy entry 3 word for word.
TaMoH2: relaxed, PBE.

The total energy comes out at -7.2745 eV/atom.

a = 5.4213 Å, b = 5.4213 Å, c = 5.4213 Å
α = 32.29°, β = 32.29°, γ = 32.29°
Fractional coordinates of all 4 atoms:
Ta1 0.0000 0.0000 0.0000
Mo1 0.5000 0.5000 0.5000
H1 0.1231 0.1231 0.1231
H2 0.8769 0.8769 0.8769

- Which formula does entry 2 have?
  TaMoH3